[1]
Material: DyUTe6
Method: DFT, GGA-PBEsol
State: relaxed

For the total DFT energy (no corrections), the calculation gives -5.49 eV/atom. The calculation puts the density of states at the Fermi level at 20.28 states/eV per cell. The spin magnetization is 2.3 μB/f.u. For the formation energy without anion corrections, the calculation gives -699 meV/atom.

The space group is Amm2 (No. 38) and the conventional cell measures 4.311, 4.300 and 24.942 Å, with angles of 90.00, 90.00 and 90.00 degrees. The inequivalent atoms are Dy at (0.000, 0.000, 0.000), U at (0.500, 0.000, 0.335), Te at (0.000, 0.000, 0.242), Te at (0.000, 0.000, 0.595), Te at (0.000, 0.000, 0.872), Te at (0.500, 0.000, 0.096), Te at (0.500, 0.000, 0.462) and Te at (0.500, 0.000, 0.742).

=====

[2]
Material: CoHgPt2
Method: DFT, GGA-PBEsol
State: relaxed

For the total DFT energy (no corrections), the calculation gives -5.44 eV/atom. The calculation puts the density of states at the Fermi level at 9.72 states/eV per cell. For the formation energy, the calculation gives 11 kJ/mol of atoms. The spin magnetization is 2.0 μB/f.u.

The space group is C2/m (No. 12) and the conventional cell measures 9.168, 2.796 and 4.797 Å, with angles of 90.00, 101.61 and 90.00 degrees. The inequivalent atoms are Co at (0.000, 0.000, 0.000), Hg at (0.000, 0.500, 0.500) and Pt at (0.240, 0.500, 0.235).

=====

[3]
Material: NaBi2Au2
Method: DFT, GGA-PBEsol
State: relaxed

For the total DFT energy (no corrections), the calculation gives -3.70 eV/atom. The calculation puts the density of states at the Fermi level at 5.15 states/eV per cell. For the formation energy, the calculation gives -13 kJ/mol of atoms. The calculation puts the polymorph energy (0 for the lowest one) at 0 kJ/mol of formula units. The spin magnetization is 0.0 μB/f.u.

The space group is P4/mbm (No. 127) and the conventional cell measures 7.738, 7.738 and 3.971 Å, with angles of 90.00, 90.00 and 90.00 degrees. The inequivalent atoms are Na at (0.000, 0.000, 0.000), Bi at (0.175, 0.325, 0.500) and Au at (0.129, 0.629, 0.000).

=====

[4]
Material: CdSbRh
Method: DFT, GGA-PBEsol
State: relaxed

For the total DFT energy (no corrections), the calculation gives -4.63 eV/atom. The calculation puts the density of states at the Fermi level at 2.24 states/eV per cell. The spin magnetization is 0.0 μB/f.u. For the formation energy without anion corrections, the calculation gives 3 meV/atom.

The space group is P-6m2 (No. 187) and the conventional cell measures 4.5070, 4.5070 and 3.2597 Å, with angles of 90.00, 90.00 and 120.00 degrees. The inequivalent atoms are Cd at (0.0000, 0.0000, 0.0000), Sb at (0.6667, 0.3333, 0.5000) and Rh at (0.3333, 0.6667, 0.5000).

=====

| no. | ρ (g/cm³) |
| --- | --- |
| 1 | 8.37 |
| 2 | 17.91 |
| 3 | 11.66 |
| 4 | 9.76 |